VASP calculation (PBE) on FeHgS2 after structural relaxation.

Cell: 5.7773 5.7773 6.5618 Å, 63.88 63.88 90.00°
With the nearest neighbours (Å) after each atom.
Fractional positions:
S 0.8750 0.7942 0.7500  2 Fe 2.17
Fe 0.2500 0.7500 0.5000  4 S 2.17
S 0.3750 0.4558 0.7500  2 Fe 2.17
S 0.2058 0.6250 0.2500  2 Fe 2.17
Hg 0.0000 0.0000 0.0000  4 S 2.72
S 0.5442 0.1250 0.2500  2 Fe 2.17
Fe 0.5000 0.5000 0.0000  4 S 2.17
Hg 0.7500 0.2500 0.5000  4 S 2.72

Computed properties:
total magnetic moment	4.0	Bohr magnetons per cell
uncorrected energy	-4.36	eV/atom